Density functional theory data (PBE) for CeSb6Pd12 after structural relaxation.

Results
total energy	-100.3	eV per cell
raw formation energy	-0.39	eV/atom

Cell: 7.5850 7.5850 7.5850 Å, 105.04 105.04 105.04°
Last column: nearest neighbours and their distance in Å.
Positions (direct):
1 Pd 0.8785 0.5000 0.1215  4 Sb 2.66-2.67, 3 Pd 2.83-2.92
2 Pd 0.1215 0.5000 0.8785  4 Sb 2.66-2.67, 3 Pd 2.83-2.92
3 Pd 0.3568 0.3568 0.1172  3 Sb 2.74-3.07, 4 Pd 2.83-2.88, 1 Ce 3.02
4 Sb 0.7359 0.3228 0.7359  6 Pd 2.66-2.74
5 Pd 0.1215 0.8785 0.5000  4 Sb 2.66-2.67, 3 Pd 2.83-2.92
6 Sb 0.2641 0.2641 0.6772  6 Pd 2.66-2.74
7 Ce 0.0000 0.0000 0.0000  6 Pd 3.02
8 Pd 0.6432 0.6432 0.8828  3 Sb 2.74-3.07, 4 Pd 2.83-2.88, 1 Ce 3.02
9 Sb 0.3228 0.7359 0.7359  6 Pd 2.66-2.74
10 Sb 0.6772 0.2641 0.2641  6 Pd 2.66-2.74
11 Pd 0.6432 0.8828 0.6432  3 Sb 2.74-3.07, 4 Pd 2.83-2.88, 1 Ce 3.02
12 Pd 0.1172 0.3568 0.3568  3 Sb 2.74-3.07, 4 Pd 2.83-2.88, 1 Ce 3.02
13 Pd 0.8785 0.1215 0.5000  4 Sb 2.66-2.67, 3 Pd 2.83-2.92
14 Pd 0.8828 0.6432 0.6432  3 Sb 2.74-3.07, 4 Pd 2.83-2.88, 1 Ce 3.02
15 Pd 0.3568 0.1172 0.3568  3 Sb 2.74-3.07, 4 Pd 2.83-2.88, 1 Ce 3.02
16 Pd 0.5000 0.1215 0.8785  4 Sb 2.66-2.67, 3 Pd 2.83-2.92
17 Sb 0.2641 0.6772 0.2641  6 Pd 2.66-2.74
18 Sb 0.7359 0.7359 0.3228  6 Pd 2.66-2.74
19 Pd 0.5000 0.8785 0.1215  4 Sb 2.66-2.67, 3 Pd 2.83-2.92

***

Density functional theory data (PBE) for CeSb3Pd after structural relaxation.

Results
offset from the most stable computed form	0	meV/atom
total energy	-107.2	eV per cell
raw formation energy	-0.66	eV/atom

Cell: 6.1850 6.2737 12.8373 Å, 90.00 90.00 90.00°
Last column: nearest neighbours and their distance in Å.
Positions (direct):
1 Pd 0.5000 0.7500 0.9033  6 Sb 2.72-2.87
2 Pd 0.5000 0.2500 0.0967  6 Sb 2.72-2.87
3 Sb 0.2500 0.1147 0.9349  4 Pd 2.72-2.79
4 Pd 0.0000 0.2500 0.0967  6 Sb 2.72-2.87
5 Ce 0.2500 0.0019 0.6915  9 Sb 3.20-3.31, 2 Pd 3.51
6 Ce 0.7500 0.4981 0.6915  9 Sb 3.20-3.31, 2 Pd 3.51
7 Sb 0.0000 0.7500 0.5015  4 Sb 3.09-3.14, 4 Ce 3.29-3.31
8 Sb 0.5000 0.2500 0.4985  4 Sb 3.09-3.14, 4 Ce 3.29-3.31
9 Sb 0.7500 0.8853 0.0651  4 Pd 2.72-2.79
10 Sb 0.7500 0.4982 0.2406  2 Pd 2.87
11 Sb 0.5000 0.7500 0.5015  4 Sb 3.09-3.14, 4 Ce 3.29-3.31
12 Sb 0.2500 0.6147 0.0651  4 Pd 2.72-2.79
13 Sb 0.0000 0.2500 0.4985  4 Sb 3.09-3.14, 4 Ce 3.29-3.31
14 Sb 0.2500 0.0018 0.2406  2 Pd 2.87
15 Sb 0.7500 0.3853 0.9349  4 Pd 2.72-2.79
16 Ce 0.2500 0.5019 0.3085  9 Sb 3.20-3.31, 2 Pd 3.51
17 Sb 0.2500 0.5018 0.7594  2 Pd 2.87
18 Sb 0.7500 0.9982 0.7594  2 Pd 2.87
19 Ce 0.7500 0.9981 0.3085  9 Sb 3.20-3.31, 2 Pd 3.51
20 Pd 0.0000 0.7500 0.9033  6 Sb 2.72-2.87

***

Density functional theory data (PBE) for CeSb2Pd after structural relaxation.

Results
total energy	-45.4	eV per cell
raw formation energy	-0.84	eV/atom

Cell: 4.4255 4.4255 9.8144 Å, 90.00 90.00 90.00°
Last column: nearest neighbours and their distance in Å.
Positions (direct):
1 Ce 0.2500 0.2500 0.7540  8 Sb 3.22-3.33, 4 Pd 3.27
2 Ce 0.7500 0.7500 0.2460  8 Sb 3.22-3.33, 4 Pd 3.27
3 Pd 0.7500 0.2500 0.0000  4 Sb 2.76
4 Sb 0.2500 0.2500 0.1679  4 Pd 2.76
5 Sb 0.2500 0.7500 0.5000  4 Sb 3.13, 4 Ce 3.33
6 Sb 0.7500 0.2500 0.5000  4 Sb 3.13, 4 Ce 3.33
7 Pd 0.2500 0.7500 0.0000  4 Sb 2.76
8 Sb 0.7500 0.7500 0.8321  4 Pd 2.76

***

Density functional theory data (PBE) for CeSbPd2 after structural relaxation.

Results
total energy	-22.9	eV per cell
raw formation energy	-0.62	eV/atom

Cell: 4.0569 4.5624 4.5624 Å, 90.00 90.00 90.00°
Last column: nearest neighbours and their distance in Å.
Positions (direct):
1 Pd 0.0000 0.5000 0.0000  4 Ce 3.05, 4 Sb 3.05, 4 Pd 3.23
2 Ce 0.5000 0.0000 0.0000  8 Pd 3.05, 4 Sb 3.23
3 Pd 0.0000 0.0000 0.5000  4 Ce 3.05, 4 Sb 3.05, 4 Pd 3.23
4 Sb 0.5000 0.5000 0.5000  8 Pd 3.05, 4 Ce 3.23

***

Density functional theory data (PBE) for Ce2Sb5Pd3 after structural relaxation.

Results
total energy	-107.7	eV per cell
raw formation energy	-0.58	eV/atom

Cell: 6.6689 9.8188 9.8188 Å, 58.28 70.15 70.15°
Last column: nearest neighbours and their distance in Å.
Positions (direct):
1 Ce 0.8902 0.3550 0.8646  5 Pd 3.36-3.59, 8 Sb 3.42-3.71
2 Sb 0.0202 0.7298 0.7298  2 Pd 2.72
3 Sb 0.3889 0.2236 0.9986  3 Pd 2.60-2.65
4 Sb 0.8889 0.9986 0.2236  3 Pd 2.60-2.65
5 Pd 0.7500 0.0000 0.0000  4 Sb 2.65
6 Ce 0.3902 0.8646 0.3550  5 Pd 3.36-3.59, 8 Sb 3.42-3.71
7 Sb 0.1111 0.0014 0.7764  3 Pd 2.60-2.65
8 Pd 0.3866 0.4979 0.7289  5 Sb 2.60-2.72
9 Pd 0.8866 0.7289 0.4979  5 Sb 2.60-2.72
10 Sb 0.7500 0.5000 0.5000  4 Pd 2.68
11 Sb 0.5202 0.7298 0.7298  2 Pd 2.72
12 Pd 0.6134 0.5021 0.2711  5 Sb 2.60-2.72
13 Pd 0.2500 0.0000 0.0000  4 Sb 2.65
14 Ce 0.6098 0.1354 0.6450  5 Pd 3.36-3.59, 8 Sb 3.42-3.71
15 Sb 0.2500 0.5000 0.5000  4 Pd 2.68
16 Sb 0.6111 0.7764 0.0014  3 Pd 2.60-2.65
17 Sb 0.9798 0.2702 0.2702  2 Pd 2.72
18 Pd 0.1134 0.2711 0.5021  5 Sb 2.60-2.72
19 Sb 0.4798 0.2702 0.2702  2 Pd 2.72
20 Ce 0.1098 0.6450 0.1354  5 Pd 3.36-3.59, 8 Sb 3.42-3.71

***

Density functional theory data (PBE) for CeSb2Pd after structural relaxation.

Results
total energy	-37.4	eV per cell
raw formation energy	0.17	eV/atom

Cell: 3.0279 3.0279 23.2146 Å, 90.00 90.00 90.00°
Last column: nearest neighbours and their distance in Å.
Positions (direct):
1 Pd 0.5000 0.5000 0.8800  1 Ce 2.51, 1 Sb 2.79
2 Ce 0.5000 0.5000 0.2279  1 Pd 2.51
3 Sb 0.5000 0.5000 0.3671  5 Sb 3.03-3.08, 1 Ce 3.23
4 Sb 0.5000 0.5000 0.5000  6 Sb 3.03-3.08
5 Sb 0.5000 0.5000 0.6329  5 Sb 3.03-3.08, 1 Ce 3.23
6 Pd 0.5000 0.5000 0.1200  1 Ce 2.51, 1 Sb 2.79
7 Sb 0.5000 0.5000 0.0000  2 Pd 2.79, 4 Sb 3.03
8 Ce 0.5000 0.5000 0.7721  1 Pd 2.51

***

What did the third record say?
Density functional theory data (PBE) for CeSb2Pd after structural relaxation.

Results
total energy	-45.4	eV per cell
raw formation energy	-0.84	eV/atom

Cell: 4.4255 4.4255 9.8144 Å, 90.00 90.00 90.00°
Last column: nearest neighbours and their distance in Å.
Positions (direct):
1 Ce 0.2500 0.2500 0.7540  8 Sb 3.22-3.33, 4 Pd 3.27
2 Ce 0.7500 0.7500 0.2460  8 Sb 3.22-3.33, 4 Pd 3.27
3 Pd 0.7500 0.2500 0.0000  4 Sb 2.76
4 Sb 0.2500 0.2500 0.1679  4 Pd 2.76
5 Sb 0.2500 0.7500 0.5000  4 Sb 3.13, 4 Ce 3.33
6 Sb 0.7500 0.2500 0.5000  4 Sb 3.13, 4 Ce 3.33
7 Pd 0.2500 0.7500 0.0000  4 Sb 2.76
8 Sb 0.7500 0.7500 0.8321  4 Pd 2.76

***

Repeat the first record exactly.
Density functional theory data (PBE) for CeSb6Pd12 after structural relaxation.

Results
total energy	-100.3	eV per cell
raw formation energy	-0.39	eV/atom

Cell: 7.5850 7.5850 7.5850 Å, 105.04 105.04 105.04°
Last column: nearest neighbours and their distance in Å.
Positions (direct):
1 Pd 0.8785 0.5000 0.1215  4 Sb 2.66-2.67, 3 Pd 2.83-2.92
2 Pd 0.1215 0.5000 0.8785  4 Sb 2.66-2.67, 3 Pd 2.83-2.92
3 Pd 0.3568 0.3568 0.1172  3 Sb 2.74-3.07, 4 Pd 2.83-2.88, 1 Ce 3.02
4 Sb 0.7359 0.3228 0.7359  6 Pd 2.66-2.74
5 Pd 0.1215 0.8785 0.5000  4 Sb 2.66-2.67, 3 Pd 2.83-2.92
6 Sb 0.2641 0.2641 0.6772  6 Pd 2.66-2.74
7 Ce 0.0000 0.0000 0.0000  6 Pd 3.02
8 Pd 0.6432 0.6432 0.8828  3 Sb 2.74-3.07, 4 Pd 2.83-2.88, 1 Ce 3.02
9 Sb 0.3228 0.7359 0.7359  6 Pd 2.66-2.74
10 Sb 0.6772 0.2641 0.2641  6 Pd 2.66-2.74
11 Pd 0.6432 0.8828 0.6432  3 Sb 2.74-3.07, 4 Pd 2.83-2.88, 1 Ce 3.02
12 Pd 0.1172 0.3568 0.3568  3 Sb 2.74-3.07, 4 Pd 2.83-2.88, 1 Ce 3.02
13 Pd 0.8785 0.1215 0.5000  4 Sb 2.66-2.67, 3 Pd 2.83-2.92
14 Pd 0.8828 0.6432 0.6432  3 Sb 2.74-3.07, 4 Pd 2.83-2.88, 1 Ce 3.02
15 Pd 0.3568 0.1172 0.3568  3 Sb 2.74-3.07, 4 Pd 2.83-2.88, 1 Ce 3.02
16 Pd 0.5000 0.1215 0.8785  4 Sb 2.66-2.67, 3 Pd 2.83-2.92
17 Sb 0.2641 0.6772 0.2641  6 Pd 2.66-2.74
18 Sb 0.7359 0.7359 0.3228  6 Pd 2.66-2.74
19 Pd 0.5000 0.8785 0.1215  4 Sb 2.66-2.67, 3 Pd 2.83-2.92

***

Q: Which formula does entry 4 have?
A: CeSbPd2